VASP calculation (PBE) on crystalline LiNd2Zn3Au4 at its relaxed geometry.

Calculated values
Energy relative to the elements in eV/atom: -0.523
E in eV per cell: -33.613

Unit cell a=4.1671 b=4.1671 c=11.8744 alpha=90.00 beta=90.00 gamma=90.00
Last column: nearest neighbours and their distance in Å.
Element x y z (fractional)
Au 0.0000 0.0000 0.0000  4 Zn 2.64, 4 Au 2.95
Au 0.0000 0.5000 0.3546  3 Zn 2.60-2.71, 2 Li 2.71
Au 0.5000 0.0000 0.6454  3 Zn 2.60-2.71, 2 Li 2.71
Au 0.5000 0.5000 0.0000  4 Zn 2.64, 4 Au 2.95
Nd 0.5000 0.0000 0.2435  4 Zn 3.21, 8 Au 3.23-3.56
Nd 0.0000 0.5000 0.7565  4 Zn 3.21, 8 Au 3.23-3.56
Zn 0.5000 0.0000 0.8640  5 Au 2.60-2.64
Zn 0.0000 0.0000 0.5000  4 Au 2.71, 4 Li 2.95
Zn 0.0000 0.5000 0.1360  5 Au 2.60-2.64
Li 0.5000 0.5000 0.5000  4 Au 2.71, 4 Zn 2.95

VASP calculation (PBE) on crystalline RbMg2InTe4 at its relaxed geometry.

Calculated values
Uncorrected formation energy in meV per atom: -675
E in eV per cell: -49.717

Unit cell a=4.2754 b=8.6603 c=15.9409 alpha=90.00 beta=90.00 gamma=104.29
Last column: nearest neighbours and their distance in Å.
Element x y z (fractional)
Rb 0.1492 0.2985 0.7500  6 Te 3.69-3.88, 2 In 4.11
Rb 0.8508 0.7015 0.2500  6 Te 3.69-3.88, 2 In 4.11
Te 0.7772 0.5543 0.5984  1 In 2.77, 2 Mg 3.00
Te 0.0000 0.0000 0.0000  4 Mg 2.93
Te 0.2228 0.4457 0.0984  1 In 2.77, 2 Mg 3.00
Te 0.5300 0.0601 0.2500  2 In 2.85, 2 Mg 3.16
Te 0.0000 0.0000 0.5000  4 Mg 2.93
Te 0.4700 0.9399 0.7500  2 In 2.85, 2 Mg 3.16
Te 0.7772 0.5543 0.9016  1 In 2.77, 2 Mg 3.00
Te 0.2228 0.4457 0.4016  1 In 2.77, 2 Mg 3.00
Mg 0.6014 0.2028 0.4334  5 Te 2.93-3.16
Mg 0.6014 0.2028 0.0666  5 Te 2.93-3.16
Mg 0.3986 0.7972 0.5666  5 Te 2.93-3.16
Mg 0.3986 0.7972 0.9334  5 Te 2.93-3.16
In 0.8580 0.7161 0.7500  4 Te 2.77-2.85
In 0.1420 0.2839 0.2500  4 Te 2.77-2.85